[1]
Computed, not measured: an optimized crystal structure of La8Pd3AuI4 at the PBE level of DFT.

For the raw total energy, the calculation gives -4.964 eV/atom. The uncorrected formation energy is -0.9344 eV per atom.

It has space group R-3m (No. 166, hexagonal axes), with a = 8.7138 Å, b = 8.7138 Å, c = 24.5451 Å, α = 90.00°, β = 90.00° and γ = 120.00°. Symmetry generates all atoms from La at (0.0000, 0.0000, 0.2319), La at (0.0067, 0.5034, 0.7683), Pd at (0.0000, 0.5000, 0.5000), Au at (0.0000, 0.0000, 0.5000), I at (0.0000, 0.0000, 0.0000) and I at (0.0000, 0.5000, 0.0000).


[2]
Computed, not measured: an optimized crystal structure of Ac6CoPt2Au at the PBE level of DFT.

For the raw total energy, the calculation gives -5.335 eV/atom. As for the formation energy: -623.7 meV per atom.

It has space group R3 (No. 146, hexagonal axes), with a = 7.6224 Å, b = 7.6224 Å, c = 21.1749 Å, α = 90.00°, β = 90.00° and γ = 120.00°. Symmetry generates all atoms from Ac at (0.0048, 0.3283, 0.0000), Ac at (0.0099, 0.6994, 0.8407), Co at (0.0000, 0.0000, 0.9269), Pt at (0.0000, 0.0000, 0.2502), Pt at (0.0000, 0.0000, 0.7452) and Au at (0.0000, 0.0000, 0.4275).


[3]
Computed, not measured: an optimized crystal structure of Hf2Al3Ru at the PBE level of DFT.

For the raw total energy, the calculation gives -7.312 eV/atom. As for the formation energy: -576.7 meV per atom.

It has space group R-3m (No. 166, hexagonal axes), with a = 5.2459 Å, b = 5.2459 Å, c = 12.7471 Å, α = 90.00°, β = 90.00° and γ = 120.00°. Symmetry generates all atoms from Hf at (0.0000, 0.0000, 0.1291), Al at (0.0000, 0.5000, 0.0000) and Ru at (0.0000, 0.0000, 0.5000).